No. 1
# LiCe3Sn3

An optimized crystal structure of LiCe3Sn3 (PBE, Alexandria).

Calculated values
crystal system	monoclinic
DFT formation energy	-391	meV per atom
total DFT energy (no corrections)	-68.92	eV/cell
space group	C2/m, No. 12
D(E_F)	20.15	states/eV/f.u.

Cell lengths 7.3196, 7.3196, 8.3737 Å; angles 93.12, 93.12, 114.91 degrees
With the nearest neighbours (Å) after each atom.
Fractional positions:
Li: 0.2038 0.2038 0.4934  3 Sn 2.82-2.87
Li: 0.7962 0.7962 0.5066  3 Sn 2.82-2.87
Ce: 0.1436 0.1436 0.9055  1 Ce 2.89
Ce: 0.2780 0.7220 0.5000  6 Sn 3.21-3.35, 2 Li 3.59
Ce: 0.3134 0.6866 0.0000  6 Sn 3.11-3.34
Ce: 0.6866 0.3134 0.0000  6 Sn 3.11-3.34
Ce: 0.7220 0.2780 0.5000  6 Sn 3.21-3.35, 2 Li 3.59
Ce: 0.8564 0.8564 0.0945  1 Ce 2.89
Sn: 0.0400 0.3365 0.2360  1 Li 2.82, 1 Sn 3.08, 1 Ce 3.11
Sn: 0.3365 0.0400 0.2360  1 Li 2.82, 1 Sn 3.08, 1 Ce 3.11
Sn: 0.4950 0.4950 0.7292  2 Li 2.87-3.16, 2 Sn 3.08
Sn: 0.5050 0.5050 0.2708  2 Li 2.87-3.16, 2 Sn 3.08
Sn: 0.6635 0.9600 0.7640  1 Li 2.82, 1 Sn 3.08, 1 Ce 3.11
Sn: 0.9600 0.6635 0.7640  1 Li 2.82, 1 Sn 3.08, 1 Ce 3.11

No. 2
# Th4SnGeTe2

An optimized crystal structure of Th4SnGeTe2 (PBE, Alexandria).

Calculated values
crystal system	monoclinic
raw formation energy	-893	meV per atom
total DFT energy (no corrections)	-51.72	eV/cell
space group	P2/m, No. 10
D(E_F)	4.90	states/eV/f.u.

Cell lengths 7.7211, 4.4398, 7.7626 Å; angles 90.00, 109.27, 90.00 degrees
With the nearest neighbours (Å) after each atom.
Fractional positions:
Th: 0.2221 0.0000 0.2263  2 Ge 2.99, 1 Sn 3.14, 3 Te 3.19-3.32
Th: 0.2319 0.5000 0.7597  1 Ge 2.98, 2 Sn 3.13, 3 Te 3.19-3.33
Th: 0.7681 0.5000 0.2403  1 Ge 2.98, 2 Sn 3.13, 3 Te 3.19-3.33
Th: 0.7779 0.0000 0.7737  2 Ge 2.99, 1 Sn 3.14, 3 Te 3.19-3.32
Sn: 0.0000 0.0000 0.5000  6 Th 3.13-3.14
Ge: 0.0000 0.5000 0.0000  6 Th 2.98-2.99
Te: 0.5000 0.0000 0.0000  6 Th 3.19
Te: 0.5000 0.5000 0.5000  6 Th 3.32-3.33

No. 3
# RbLaS2

An optimized crystal structure of RbLaS2 (PBE, Alexandria).

Calculated values
crystal system	cubic
raw formation energy	-1495	meV per atom
total DFT energy (no corrections)	-20.13	eV/cell
space group	Fm-3m, No. 225
D(E_F)	0.00	states/eV/f.u.

Cell lengths 5.2114, 5.2114, 5.2114 Å; angles 60.00, 60.00, 60.00 degrees
With the nearest neighbours (Å) after each atom.
Fractional positions:
Rb: 0.0000 0.0000 0.0000  8 S 3.19
La: 0.5000 0.5000 0.5000  8 S 3.19
S: 0.2500 0.2500 0.2500  4 La 3.19, 4 Rb 3.19
S: 0.7500 0.7500 0.7500  4 La 3.19, 4 Rb 3.19

No. 4
# Tm6CdPt5

An optimized crystal structure of Tm6CdPt5 (PBE, Alexandria).

Calculated values
crystal system	orthorhombic
DFT formation energy	-1120	meV per atom
total DFT energy (no corrections)	-71.39	eV/cell
space group	Immm, No. 71
D(E_F)	7.59	states/eV/f.u.

Cell lengths 8.5354, 8.5354, 8.5354 Å; angles 146.63, 131.61, 60.05 degrees
With the nearest neighbours (Å) after each atom.
Fractional positions:
Tm: 0.0720 0.3286 0.7434  7 Pt 2.93-3.10, 1 Cd 3.11
Tm: 0.2355 0.0000 0.2355  6 Pt 2.92-3.02, 2 Cd 3.07
Tm: 0.4149 0.6714 0.7434  7 Pt 2.93-3.10, 1 Cd 3.11
Tm: 0.5851 0.3286 0.2566  7 Pt 2.93-3.10, 1 Cd 3.11
Tm: 0.7645 0.0000 0.7645  6 Pt 2.92-3.02, 2 Cd 3.07
Tm: 0.9280 0.6714 0.2566  7 Pt 2.93-3.10, 1 Cd 3.11
Cd: 0.5000 0.5000 0.0000  8 Tm 3.07-3.11, 4 Pt 3.34
Pt: 0.0000 0.5000 0.5000  8 Tm 2.95-3.05
Pt: 0.1716 0.1716 0.0000  8 Tm 2.93-3.02
Pt: 0.3469 0.8469 0.5000  8 Tm 2.92-3.10
Pt: 0.6531 0.1531 0.5000  8 Tm 2.92-3.10
Pt: 0.8284 0.8284 0.0000  8 Tm 2.93-3.02

No. 5
# Ce5As3P

An optimized crystal structure of Ce5As3P (PBE, Alexandria).

Calculated values
crystal system	tetragonal
DFT formation energy	-981	meV per atom
total DFT energy (no corrections)	-115.72	eV/cell
space group	I4/mcm, No. 140
D(E_F)	26.80	states/eV/f.u.

Cell lengths 9.3107, 9.3107, 9.3107 Å; angles 131.27, 131.27, 71.38 degrees
With the nearest neighbours (Å) after each atom.
Fractional positions:
Ce: 0.0000 0.0000 0.0000  4 As 3.05
Ce: 0.0556 0.5556 0.8850  1 P 2.70, 1 As 2.89
Ce: 0.1706 0.0556 0.5000  1 P 2.70, 1 As 2.89
Ce: 0.3294 0.8294 0.8850  1 P 2.70, 1 As 2.89
Ce: 0.4444 0.3294 0.5000  1 P 2.70, 1 As 2.89
Ce: 0.5000 0.5000 0.0000  4 As 3.05
Ce: 0.5556 0.6706 0.5000  1 P 2.70, 1 As 2.89
Ce: 0.6706 0.1706 0.1150  1 P 2.70, 1 As 2.89
Ce: 0.8294 0.9444 0.5000  1 P 2.70, 1 As 2.89
Ce: 0.9444 0.4444 0.1150  1 P 2.70, 1 As 2.89
As: 0.1223 0.3777 0.5000  1 As 2.66, 2 Ce 2.89
As: 0.2500 0.2500 0.0000  8 Ce 3.27
As: 0.3777 0.8777 0.2554  1 As 2.66, 2 Ce 2.89
As: 0.6223 0.1223 0.7446  1 As 2.66, 2 Ce 2.89
As: 0.7500 0.7500 0.0000  8 Ce 3.27
As: 0.8777 0.6223 0.5000  1 As 2.66, 2 Ce 2.89
P: 0.2500 0.7500 0.5000  4 Ce 2.70
P: 0.7500 0.2500 0.5000  4 Ce 2.70

No. 6
# Mn2CoCl

An optimized crystal structure of Mn2CoCl (PBE, Alexandria).

Calculated values
polymorph energy (0 for the lowest one)	0.426	eV per atom
crystal system	tetragonal
raw formation energy	444	meV per atom
total DFT energy (no corrections)	-25.51	eV/cell
space group	P4/mmm, No. 123
D(E_F)	3.56	states/eV/f.u.

Cell lengths 4.4792, 4.4792, 2.9624 Å; angles 90.00, 90.00, 90.00 degrees
With the nearest neighbours (Å) after each atom.
Fractional positions:
Mn: 0.0000 0.5000 0.0000  4 Cl 2.69, 4 Co 2.69, 2 Mn 2.96
Mn: 0.5000 0.0000 0.0000  4 Cl 2.69, 4 Co 2.69, 2 Mn 2.96
Co: 0.0000 0.0000 0.5000  8 Mn 2.69, 2 Co 2.96
Cl: 0.5000 0.5000 0.5000  8 Mn 2.69, 2 Cl 2.96

No. 7
# Ce5Ge4O

An optimized crystal structure of Ce5Ge4O (PBE, Alexandria).

Calculated values
crystal system	tetragonal
raw formation energy	-1025	meV per atom
total DFT energy (no corrections)	-63.35	eV/cell
space group	I4, No. 79
D(E_F)	16.23	states/eV/f.u.

Cell lengths 7.1392, 7.1392, 7.1392 Å; angles 100.00, 100.00, 130.75 degrees
With the nearest neighbours (Å) after each atom.
Fractional positions:
Ce: 0.0000 0.0000 0.0000  1 O 2.28
Ce: 0.1685 0.3519 0.6260  1 O 2.73, 5 Ge 2.93-3.01
Ce: 0.3519 0.7259 0.1834  1 O 2.73, 5 Ge 2.93-3.01
Ce: 0.5424 0.1685 0.8166  1 O 2.73, 5 Ge 2.93-3.01
Ce: 0.7259 0.5424 0.3740  1 O 2.73, 5 Ge 2.93-3.01
Ge: 0.0354 0.6410 0.7877  6 Ce 2.93-3.01
Ge: 0.2477 0.0354 0.3944  6 Ce 2.93-3.01
Ge: 0.6410 0.8534 0.6056  6 Ce 2.93-3.01
Ge: 0.8534 0.2477 0.2123  6 Ce 2.93-3.01
O: 0.3824 0.3824 0.0000  1 Ce 2.28

No. 8
# Mn2CuPd6

An optimized crystal structure of Mn2CuPd6 (PBE, Alexandria).

Calculated values
polymorph energy (0 for the lowest one)	0.006	eV per atom
crystal system	orthorhombic
DFT formation energy	-196	meV per atom
total DFT energy (no corrections)	-55.36	eV/cell
space group	Fmmm, No. 69
D(E_F)	5.66	states/eV/f.u.

Cell lengths 8.1855, 6.3382, 5.9040 Å; angles 83.84, 50.34, 45.82 degrees
With the nearest neighbours (Å) after each atom.
Fractional positions:
Mn: 0.1601 0.1601 0.8399  8 Pd 2.63-2.72, 2 Cu 2.78
Mn: 0.8399 0.8399 0.1601  8 Pd 2.63-2.72, 2 Cu 2.78
Cu: 0.5000 0.5000 0.5000  8 Pd 2.67-2.69, 4 Mn 2.78
Pd: 0.1614 0.8386 0.1614  2 Mn 2.63, 2 Cu 2.69, 8 Pd 2.81-2.84
Pd: 0.1746 0.4904 0.5096  3 Mn 2.66-2.72, 1 Cu 2.67, 8 Pd 2.82-2.86
Pd: 0.4904 0.1746 0.8254  3 Mn 2.66-2.72, 1 Cu 2.67, 8 Pd 2.82-2.86
Pd: 0.5096 0.8254 0.1746  3 Mn 2.66-2.72, 1 Cu 2.67, 8 Pd 2.82-2.86
Pd: 0.8254 0.5096 0.4904  3 Mn 2.66-2.72, 1 Cu 2.67, 8 Pd 2.82-2.86
Pd: 0.8386 0.1614 0.8386  2 Mn 2.63, 2 Cu 2.69, 8 Pd 2.81-2.84

No. 9
# ZrV2Ru2

An optimized crystal structure of ZrV2Ru2 (PBE, Alexandria).

Calculated values
polymorph energy (0 for the lowest one)	0.000	eV per atom
crystal system	tetragonal
DFT formation energy	-156	meV per atom
total DFT energy (no corrections)	-92.23	eV/cell
space group	P4/mbm, No. 127
D(E_F)	6.75	states/eV/f.u.

Cell lengths 7.3586, 7.3586, 2.8475 Å; angles 90.00, 90.00, 90.00 degrees
With the nearest neighbours (Å) after each atom.
Fractional positions:
Zr: 0.0000 0.0000 0.0000  4 V 2.82, 2 Zr 2.85, 8 Ru 3.14
Zr: 0.5000 0.5000 0.0000  4 V 2.82, 2 Zr 2.85, 8 Ru 3.14
V: 0.1451 0.3549 0.0000  6 Ru 2.56-2.60, 2 Zr 2.82, 2 V 2.85
V: 0.3549 0.8549 0.0000  6 Ru 2.56-2.60, 2 Zr 2.82, 2 V 2.85
V: 0.6451 0.1451 0.0000  6 Ru 2.56-2.60, 2 Zr 2.82, 2 V 2.85
V: 0.8549 0.6451 0.0000  6 Ru 2.56-2.60, 2 Zr 2.82, 2 V 2.85
Ru: 0.1501 0.6501 0.5000  6 V 2.56-2.60, 2 Ru 2.85
Ru: 0.3499 0.1501 0.5000  6 V 2.56-2.60, 2 Ru 2.85
Ru: 0.6501 0.8499 0.5000  6 V 2.56-2.60, 2 Ru 2.85
Ru: 0.8499 0.3499 0.5000  6 V 2.56-2.60, 2 Ru 2.85

No. 10
# TiAlOsRu

An optimized crystal structure of TiAlOsRu (PBE, Alexandria).

Calculated values
crystal system	tetragonal
DFT formation energy	-661	meV per atom
total DFT energy (no corrections)	-34.79	eV/cell
space group	P4mm, No. 99
D(E_F)	3.71	states/eV/f.u.

Cell lengths 3.0610, 3.0610, 6.0604 Å; angles 90.00, 90.00, 90.00 degrees
With the nearest neighbours (Å) after each atom.
Fractional positions:
Ti: 0.0000 0.0000 0.0000  4 Ru 2.65, 4 Os 2.66
Al: 0.0000 0.0000 0.5028  4 Ru 2.63, 4 Os 2.63
Os: 0.5000 0.5000 0.2551  4 Al 2.63, 4 Ti 2.66
Ru: 0.5000 0.5000 0.7490  4 Al 2.63, 4 Ti 2.65

No. 11
# Rb3TlCu2Br8

An optimized crystal structure of Rb3TlCu2Br8 (PBE, Alexandria).

Calculated values
crystal system	trigonal
raw formation energy	-986	meV per atom
total DFT energy (no corrections)	-40.65	eV/cell
space group	P-3m1, No. 164
D(E_F)	15.32	states/eV/f.u.

Cell lengths 7.8332, 7.8332, 9.7551 Å; angles 90.00, 90.00, 120.00 degrees
With the nearest neighbours (Å) after each atom.
Fractional positions:
Rb: 0.0000 0.0000 0.0000  6 Br 3.86
Rb: 0.3333 0.6667 0.6222  4 Br 3.33-3.71
Rb: 0.6667 0.3333 0.3777  4 Br 3.33-3.71
Tl: 0.0000 0.0000 0.5000  6 Br 2.94
Cu: 0.3333 0.6667 0.2005  4 Br 2.31-2.47
Cu: 0.6667 0.3333 0.7995  4 Br 2.31-2.47
Br: 0.1715 0.3430 0.3159  1 Cu 2.47
Br: 0.1715 0.8285 0.3159  1 Cu 2.47
Br: 0.3333 0.6667 0.9639  1 Cu 2.31
Br: 0.3430 0.1715 0.6841  1 Cu 2.47
Br: 0.6570 0.8285 0.3159  1 Cu 2.47
Br: 0.6667 0.3333 0.0361  1 Cu 2.31
Br: 0.8285 0.1715 0.6841  1 Cu 2.47
Br: 0.8285 0.6570 0.6841  1 Cu 2.47